The following is a PBE calculation of a relaxed CsTlPbSe2 crystal, from Alexandria via LeMat-Bulk.

```
CsTlPbSe2
1.0
9.4556 -2.4295 0.0000
9.4556 2.4295 0.0000
-2.1077 0.0000 9.8775
Cs Tl Pb Se
2 2 2 4
direct
0.1784 0.1784 0.1486
0.8216 0.8216 0.8514
0.1883 0.1883 0.5157
0.8117 0.8117 0.4843
0.4270 0.4270 0.3228
0.5730 0.5730 0.6772
0.1624 0.1624 0.7915
0.4091 0.4091 0.6005
0.5909 0.5909 0.3995
0.8376 0.8376 0.2085
```

Computed properties:
E_form (uncorrected) = -3.198 eV per formula unit